First-principles (GGA-PBE) data for a relaxed structure of LaThGeH, as listed in the Alexandria database.

Structure (POSCAR):
```
LaThGeH
1.0
4.466 0.000 0.000
0.000 4.466 0.000
0.000 0.000 9.000
La Th Ge H
2 2 2 2
Direct
0.250 0.250 0.126 La
0.750 0.750 0.874 La
0.250 0.750 0.500 Th
0.750 0.250 0.500 Th
0.250 0.250 0.745 Ge
0.750 0.750 0.255 Ge
0.250 0.750 0.000 H
0.750 0.250 0.000 H
```

Computed properties:
**Crystal system**: tetragonal
**Electronic total energy**: -5.681 eV per atom
**Total magnetization**: 0.00 μB per formula unit
**SG**: No. 129